Material: DyCuSn
Method: DFT, PBE
State: relaxed

Output
Energy of formation from the pure elements (meV per atom): -557
Crystal system: hexagonal

Cell lengths 4.5211, 4.5211, 7.2216 Å; angles 90.00, 90.00, 120.00 degrees
Space group P6_3/mmc (No. 194)
Unique sites:
1 Dy 0.0000 0.0000 0.0000
2 Cu 0.3333 0.6667 0.2500
3 Sn 0.3333 0.6667 0.7500

Material: ZrCr
Method: DFT, PBE
State: relaxed

Output
Energy of formation from the pure elements (meV per atom): 831
Crystal system: tetragonal

Cell lengths 5.3986, 5.3986, 5.2014 Å; angles 90.00, 90.00, 90.00 degrees
Space group P4_2/mnm (No. 136)
Unique sites:
1 Zr 0.1908 0.1908 0.0000
2 Cr 0.1452 0.1452 0.5000

Asked for total DFT energy (no corrections) across the records above, the calculation gives -4.79, -8.25 eV per atom in order.